1.
A relaxed structure of AuIBrCl2. Source: Alexandria, functional PBE.

**E**: -1.554 eV per atom
**Crystal system**: tetragonal
**Volume**: 34.17 A^3/atom

```
AuIBrCl2
1.0
5.403 0.000 0.000
0.000 5.403 0.000
0.000 0.000 5.851
Au I Br Cl
1 1 1 2
Cartesian
0.000 0.000 0.000
2.702 2.702 2.925
2.702 2.702 0.000
0.000 2.702 2.925
2.702 0.000 2.925
```

2.
A relaxed structure of CsReTcPd2. Source: Alexandria, functional PBE.

**E**: -5.711 eV per atom
**E_form**: 1100 meV/atom
**Crystal system**: tetragonal
**Volume**: 24.60 A^3/atom

```
CsReTcPd2
1.0
5.122 0.000 0.000
0.000 5.122 0.000
0.000 0.000 4.688
Cs Re Tc Pd
1 1 1 2
Cartesian
0.000 0.000 0.000
2.561 2.561 2.344
2.561 2.561 0.000
0.000 2.561 2.344
2.561 0.000 2.344
```

3.
A relaxed structure of Dy2PuBe. Source: Alexandria, functional PBE.

**E**: -6.364 eV per atom
**E_form**: 452 meV/atom
**Crystal system**: trigonal
**Energy above the lowest structure with this stoichiometry**: 1.243 eV/f.u.
**Volume**: 26.85 A^3/atom

```
Dy2PuBe
1.0
1.700 0.981 10.732
-1.700 0.981 10.732
0.000 -1.963 10.732
Dy Pu Be
2 1 1
Cartesian
0.000 0.000 3.371
0.000 0.000 28.826
0.000 0.000 0.000
0.000 0.000 16.099
```

4.
A relaxed structure of Pr2In5Rh3. Source: Alexandria, functional PBE.

**E**: -5.085 eV per atom
**E_form**: -555 meV/atom
**Crystal system**: orthorhombic
**Volume**: 22.30 A^3/atom

```
Pr2In5Rh3
1.0
2.272 -13.354 0.000
2.272 13.354 0.000
0.000 0.000 7.351
Pr In Rh
4 10 6
Cartesian
2.272 12.658 3.676
2.272 4.676 4.367
2.272 -4.676 0.691
2.272 -12.658 0.000
2.272 10.733 6.504
2.272 7.844 2.945
2.272 7.746 5.898
2.272 3.406 0.326
2.272 1.413 4.938
2.272 -1.413 1.262
2.272 -3.406 4.002
2.272 -7.746 2.222
2.272 -7.844 6.620
2.272 -10.733 2.829
2.272 10.433 1.951
2.272 6.137 0.770
2.272 1.221 2.112
2.272 -1.221 5.788
2.272 -6.137 4.445
2.272 -10.433 5.627
```

5.
A relaxed structure of Na2CaSn. Source: Alexandria, functional PBE.

**E**: -2.363 eV per atom
**E_form**: -203 meV/atom
**Crystal system**: tetragonal
**Volume**: 30.38 A^3/atom

```
Na2CaSn
1.0
4.689 0.000 0.000
0.000 4.689 0.000
0.000 0.000 5.527
Na Ca Sn
2 1 1
Cartesian
0.000 2.344 0.000
2.344 0.000 0.000
0.000 0.000 2.764
2.344 2.344 2.764
```

6.
A relaxed structure of Rb2HgH4. Source: Alexandria, functional PBE.

**E**: -2.339 eV per atom
**Crystal system**: monoclinic
**Volume**: 22.80 A^3/atom

```
Rb2HgH4
1.0
6.287 0.000 0.000
0.000 6.118 0.000
-2.106 0.000 8.299
Rb Hg H
4 2 8
Cartesian
0.419 1.530 3.705
-0.299 1.530 8.089
4.480 4.589 0.210
3.762 4.589 4.595
1.394 4.589 1.866
2.787 1.530 6.434
-0.169 4.589 2.793
1.130 4.589 0.060
2.413 3.136 2.276
2.413 6.042 2.276
1.768 0.076 6.023
1.768 2.983 6.023
3.051 1.530 8.239
4.350 1.530 5.506
```

7.
A relaxed structure of PrPd5. Source: Alexandria, functional PBE.

**E**: -5.591 eV per atom
**E_form**: -467 meV/atom
**Crystal system**: monoclinic
**Volume**: 17.79 A^3/atom

```
PrPd5
1.0
2.532 -4.491 0.000
2.532 4.491 0.000
-1.611 0.000 4.694
Pr Pd
1 5
Cartesian
0.000 0.000 0.000
1.727 2.855 2.347
2.532 1.481 0.000
1.727 0.000 2.347
2.532 -1.481 0.000
1.727 -2.855 2.347
```

8.
A relaxed structure of KCo2Hg. Source: Alexandria, functional PBE.

**E**: -2.867 eV per atom
**E_form**: 1036 meV/atom
**Crystal system**: tetragonal
**Volume**: 19.78 A^3/atom

```
KCo2Hg
1.0
-2.365 2.365 3.537
2.365 -2.365 3.537
2.365 2.365 -3.537
K Co Hg
1 2 1
Cartesian
0.000 0.000 0.000
2.365 0.000 1.768
0.000 0.000 3.537
0.000 2.365 1.768
```

9.
A relaxed structure of TlCuRu2. Source: Alexandria, functional PBE.

**E**: -5.674 eV per atom
**E_form**: 579 meV/atom
**Crystal system**: tetragonal
**Energy above the lowest structure with this stoichiometry**: 0.813 eV/f.u.
**Volume**: 15.72 A^3/atom

```
TlCuRu2
1.0
3.153 0.000 0.000
0.000 3.153 0.000
0.000 0.000 6.323
Tl Cu Ru
1 1 2
Cartesian
0.000 0.000 0.000
0.000 0.000 3.161
1.577 1.577 1.822
1.577 1.577 4.501
```

10.
A relaxed structure of CdCoP. Source: Alexandria, functional PBE.

**E**: -4.523 eV per atom
**E_form**: -46 meV/atom
**Crystal system**: tetragonal
**Volume**: 15.30 A^3/atom

```
CdCoP
1.0
-1.424 1.424 5.659
1.424 -1.424 5.659
1.424 1.424 -5.659
Cd Co P
1 1 1
Cartesian
0.000 0.000 0.000
0.000 0.000 7.696
0.000 0.000 3.127
```

11.
A relaxed structure of PrAg2Hg4. Source: Alexandria, functional PBE.

**E**: -1.861 eV per atom
**E_form**: -191 meV/atom
**Crystal system**: trigonal
**Energy above the lowest structure with this stoichiometry**: 0.000 eV/f.u.
**Volume**: 24.49 A^3/atom

```
PrAg2Hg4
1.0
2.499 1.443 7.929
-2.499 1.443 7.929
0.000 -2.885 7.929
Pr Ag Hg
1 2 4
Cartesian
0.000 0.000 0.000
0.000 0.000 6.131
0.000 0.000 17.656
0.000 0.000 3.214
0.000 0.000 9.471
0.000 0.000 14.317
0.000 0.000 20.574
```

12.
A relaxed structure of Sb2PPd8. Source: Alexandria, functional PBE.

**E**: -5.440 eV per atom
**Crystal system**: monoclinic
**Volume**: 16.47 A^3/atom

```
Sb2PPd8
1.0
7.412 -2.222 0.000
7.412 2.222 0.000
-2.051 0.000 5.501
Sb P Pd
2 1 8
Cartesian
2.256 0.000 1.029
10.516 0.000 4.472
6.386 0.000 2.751
-0.369 0.000 1.537
1.386 0.000 4.140
4.077 0.000 3.150
5.661 0.000 0.533
7.111 0.000 4.968
8.695 0.000 2.351
11.387 0.000 1.361
13.141 0.000 3.964
```

13.
A relaxed structure of SmTmZnTc. Source: Alexandria, functional PBE.

**E**: -5.327 eV per atom
**E_form**: -120 meV/atom
**Crystal system**: cubic
**Volume**: 21.35 A^3/atom

```
SmTmZnTc
1.0
0.000 3.495 3.495
3.495 0.000 3.495
3.495 3.495 0.000
Sm Tm Zn Tc
1 1 1 1
Cartesian
0.000 0.000 0.000
3.495 3.495 3.495
1.748 1.748 1.748
5.243 5.243 5.243
```

14.
A relaxed structure of RbPm2HgO5. Source: Alexandria, functional PBE.

**E**: -6.016 eV per atom
**Crystal system**: tetragonal
**Volume**: 16.58 A^3/atom

```
RbPm2HgO5
1.0
-3.423 3.423 6.368
3.423 -3.423 6.368
3.423 3.423 -6.368
Rb Pm Hg O
2 4 2 10
Cartesian
0.000 0.000 3.184
0.000 0.000 9.552
4.594 1.171 0.000
1.171 2.252 0.000
2.252 1.171 6.368
-1.171 2.252 6.368
3.423 0.000 3.184
0.000 3.423 3.184
0.000 0.000 0.000
2.461 0.962 -1.416
2.461 -0.962 4.953
2.461 0.962 1.416
2.461 -0.962 7.784
0.000 0.000 6.368
0.962 4.386 -1.416
0.962 2.461 4.953
0.962 4.386 1.416
0.962 2.461 7.784
```

15.
A relaxed structure of MnPb2S2Br2. Source: Alexandria, functional PBE.

**E**: -4.671 eV per atom
**Crystal system**: monoclinic
**Volume**: 28.76 A^3/atom

```
MnPb2S2Br2
1.0
7.315 -2.076 0.000
7.315 2.076 0.000
-4.104 0.000 6.628
Mn Pb S Br
1 2 2 2
Cartesian
0.000 0.000 0.000
-0.043 0.000 3.886
10.569 0.000 2.741
1.710 0.000 1.735
8.816 0.000 4.892
5.987 0.000 1.394
4.539 0.000 5.234
```